# Th4SiSb (PBE-GGA, relaxed)
data_Th4SiSb
_symmetry_space_group_name_H-M 'C 1 2/c 1'
_symmetry_Int_Tables_number 15
_symmetry_space_group_name_Hall '-C 2yc'
_cell_length_a 8.748
_cell_length_b 14.088
_cell_length_c 6.026
_cell_angle_alpha 90.00
_cell_angle_beta 110.26
_cell_angle_gamma 90.00
loop_
_atom_site_label
_atom_site_type_symbol
_atom_site_fract_x
_atom_site_fract_y
_atom_site_fract_z
Th1 Th 0.093 0.184 0.052
Th2 Th 0.209 0.419 0.357
Si1 Si 0.000 0.001 0.750
Sb1 Sb 0.000 0.383 0.750
# formation energy from raw total energies	-474.0	meV/atom
# density of states at the Fermi level	1.07	states/eV/atom

---

# Th3SiSb (PBE-GGA, relaxed)
data_Th3SiSb
_symmetry_space_group_name_H-M 'P -1'
_symmetry_Int_Tables_number 2
_symmetry_space_group_name_Hall '-P 1'
_cell_length_a 7.320
_cell_length_b 7.326
_cell_length_c 8.213
_cell_angle_alpha 63.56
_cell_angle_beta 63.62
_cell_angle_gamma 60.03
loop_
_atom_site_label
_atom_site_type_symbol
_atom_site_fract_x
_atom_site_fract_y
_atom_site_fract_z
Th1 Th 0.092 0.397 0.277
Th2 Th 0.266 0.907 0.723
Th3 Th 0.397 0.733 0.277
Si1 Si 0.329 0.328 0.514
Sb1 Sb 0.170 0.169 0.991
# formation energy from raw total energies	-383.1	meV/atom
# density of states at the Fermi level	1.11	states/eV/atom

---

# ThSiSb (PBE-GGA, relaxed)
data_ThSiSb
_symmetry_space_group_name_H-M 'P -6 m 2'
_symmetry_Int_Tables_number 187
_symmetry_space_group_name_Hall 'P -6 2'
_cell_length_a 4.6723
_cell_length_b 4.6723
_cell_length_c 3.9877
_cell_angle_alpha 90.00
_cell_angle_beta 90.00
_cell_angle_gamma 120.00
loop_
_atom_site_label
_atom_site_type_symbol
_atom_site_fract_x
_atom_site_fract_y
_atom_site_fract_z
Th1 Th 0.0000 0.0000 0.0000
Si1 Si 0.6667 0.3333 0.5000
Sb1 Sb 0.3333 0.6667 0.5000
# formation energy from raw total energies	-316.3	meV/atom
# density of states at the Fermi level	1.03	states/eV/atom

---

# Th5SiSb4 (PBE-GGA, relaxed)
data_Th5SiSb4
_symmetry_space_group_name_H-M 'I 4/m'
_symmetry_Int_Tables_number 87
_symmetry_space_group_name_Hall '-I 4'
_cell_length_a 9.978
_cell_length_b 9.978
_cell_length_c 6.306
_cell_angle_alpha 90.00
_cell_angle_beta 90.00
_cell_angle_gamma 90.00
loop_
_atom_site_label
_atom_site_type_symbol
_atom_site_fract_x
_atom_site_fract_y
_atom_site_fract_z
Th1 Th 0.000 0.000 0.000
Th2 Th 0.097 0.719 0.500
Si1 Si 0.000 0.000 0.500
Sb1 Sb 0.092 0.695 0.000
# formation energy from raw total energies	-864.8	meV/atom
# density of states at the Fermi level	0.73	states/eV/atom

---

# Th2SiSb (PBE-GGA, relaxed)
data_Th2SiSb
_symmetry_space_group_name_H-M 'R -3 m'
_symmetry_Int_Tables_number 166
_symmetry_space_group_name_Hall '-R 3 2"'
_cell_length_a 4.3494
_cell_length_b 4.3494
_cell_length_c 21.8902
_cell_angle_alpha 90.00
_cell_angle_beta 90.00
_cell_angle_gamma 120.00
loop_
_atom_site_label
_atom_site_type_symbol
_atom_site_fract_x
_atom_site_fract_y
_atom_site_fract_z
Th1 Th 0.0000 0.0000 0.2417
Si1 Si 0.0000 0.0000 0.5000
Sb1 Sb 0.0000 0.0000 0.0000
# formation energy from raw total energies	-816.3	meV/atom
# density of states at the Fermi level	0.54	states/eV/atom

---

# Th4SiSb3 (PBE-GGA, relaxed)
data_Th4SiSb3
_symmetry_space_group_name_H-M 'P 1 2/c 1'
_symmetry_Int_Tables_number 13
_symmetry_space_group_name_Hall '-P 2yc'
_cell_length_a 7.753
_cell_length_b 8.881
_cell_length_c 7.678
_cell_angle_alpha 90.00
_cell_angle_beta 109.30
_cell_angle_gamma 90.00
loop_
_atom_site_label
_atom_site_type_symbol
_atom_site_fract_x
_atom_site_fract_y
_atom_site_fract_z
Th1 Th 0.227 0.115 0.001
Th2 Th 0.239 0.360 0.486
Si1 Si 0.000 0.124 0.250
Sb1 Sb 0.000 0.377 0.750
Sb2 Sb 0.500 0.124 0.750
Sb3 Sb 0.500 0.378 0.250
# formation energy from raw total energies	-868.1	meV/atom
# density of states at the Fermi level	0.47	states/eV/atom

---

# TiSi2Sb (PBE-GGA, relaxed)
data_TiSi2Sb
_symmetry_space_group_name_H-M 'I -4 2 d'
_symmetry_Int_Tables_number 122
_symmetry_space_group_name_Hall 'I -4 2bw'
_cell_length_a 6.050
_cell_length_b 6.050
_cell_length_c 11.674
_cell_angle_alpha 90.00
_cell_angle_beta 90.00
_cell_angle_gamma 90.00
loop_
_atom_site_label
_atom_site_type_symbol
_atom_site_fract_x
_atom_site_fract_y
_atom_site_fract_z
Ti1 Ti 0.000 0.000 0.000
Si1 Si 0.234 0.250 0.125
Sb1 Sb 0.000 0.000 0.500
# formation energy from raw total energies	466.3	meV/atom
# density of states at the Fermi level	1.04	states/eV/atom

---

# TiSiSb (PBE-GGA, relaxed)
data_TiSiSb
_symmetry_space_group_name_H-M 'P 21 3'
_symmetry_Int_Tables_number 198
_symmetry_space_group_name_Hall 'P 2ac 2ab 3'
_cell_length_a 6.460
_cell_length_b 6.460
_cell_length_c 6.460
_cell_angle_alpha 90.00
_cell_angle_beta 90.00
_cell_angle_gamma 90.00
loop_
_atom_site_label
_atom_site_type_symbol
_atom_site_fract_x
_atom_site_fract_y
_atom_site_fract_z
Ti1 Ti 0.018 0.018 0.018
Si1 Si 0.170 0.830 0.330
Sb1 Sb 0.068 0.568 0.932
# formation energy from raw total energies	263.3	meV/atom
# density of states at the Fermi level	0.77	states/eV/atom

---

# Ti2Si2Sb (PBE-GGA, relaxed)
data_Ti2Si2Sb
_symmetry_space_group_name_H-M 'P 4/m b m'
_symmetry_Int_Tables_number 127
_symmetry_space_group_name_Hall '-P 4 2ab'
_cell_length_a 6.964
_cell_length_b 6.964
_cell_length_c 3.476
_cell_angle_alpha 90.00
_cell_angle_beta 90.00
_cell_angle_gamma 90.00
loop_
_atom_site_label
_atom_site_type_symbol
_atom_site_fract_x
_atom_site_fract_y
_atom_site_fract_z
Ti1 Ti 0.175 0.325 0.000
Si1 Si 0.119 0.619 0.500
Sb1 Sb 0.000 0.000 0.500
# formation energy from raw total energies	-248.0	meV/atom
# density of states at the Fermi level	0.79	states/eV/atom

---

# Ti3SiSb (PBE-GGA, relaxed)
data_Ti3SiSb
_symmetry_space_group_name_H-M 'P 1 21/m 1'
_symmetry_Int_Tables_number 11
_symmetry_space_group_name_Hall '-P 2yb'
_cell_length_a 7.016
_cell_length_b 3.665
_cell_length_c 7.269
_cell_angle_alpha 90.00
_cell_angle_beta 111.03
_cell_angle_gamma 90.00
loop_
_atom_site_label
_atom_site_type_symbol
_atom_site_fract_x
_atom_site_fract_y
_atom_site_fract_z
Ti1 Ti 0.015 0.250 0.195
Ti2 Ti 0.338 0.250 0.929
Ti3 Ti 0.340 0.750 0.601
Si1 Si 0.079 0.250 0.596
Sb1 Sb 0.330 0.750 0.209
# formation energy from raw total energies	-560.6	meV/atom
# density of states at the Fermi level	1.00	states/eV/atom

---

# Ti2Si2Sb (PBE-GGA, relaxed)
data_Ti2Si2Sb
_symmetry_space_group_name_H-M 'P 4/m b m'
_symmetry_Int_Tables_number 127
_symmetry_space_group_name_Hall '-P 4 2ab'
_cell_length_a 7.042
_cell_length_b 7.042
_cell_length_c 3.548
_cell_angle_alpha 90.00
_cell_angle_beta 90.00
_cell_angle_gamma 90.00
loop_
_atom_site_label
_atom_site_type_symbol
_atom_site_fract_x
_atom_site_fract_y
_atom_site_fract_z
Ti1 Ti 0.161 0.339 0.000
Si1 Si 0.126 0.626 0.500
Sb1 Sb 0.000 0.000 0.000
# formation energy from raw total energies	-256.9	meV/atom
# density of states at the Fermi level	0.80	states/eV/atom

---

# Ti12SiSb6 (PBE-GGA, relaxed)
data_Ti12SiSb6
_symmetry_space_group_name_H-M 'R -3'
_symmetry_Int_Tables_number 148
_symmetry_space_group_name_Hall '-R 3'
_cell_length_a 11.3840
_cell_length_b 11.3840
_cell_length_c 11.3268
_cell_angle_alpha 90.00
_cell_angle_beta 90.00
_cell_angle_gamma 120.00
loop_
_atom_site_label
_atom_site_type_symbol
_atom_site_fract_x
_atom_site_fract_y
_atom_site_fract_z
Ti1 Ti 0.0421 0.8187 0.4189
Ti2 Ti 0.0540 0.8018 0.9289
Si1 Si 0.0000 0.0000 0.5000
Sb1 Sb 0.0507 0.8289 0.1725
# formation energy from raw total energies	-87.5	meV/atom
# density of states at the Fermi level	0.97	states/eV/atom

---

# Ti2Si2Sb (PBE-GGA, relaxed)
data_Ti2Si2Sb
_symmetry_space_group_name_H-M 'I 4/m m m'
_symmetry_Int_Tables_number 139
_symmetry_space_group_name_Hall '-I 4 2'
_cell_length_a 3.525
_cell_length_b 3.525
_cell_length_c 13.928
_cell_angle_alpha 90.00
_cell_angle_beta 90.00
_cell_angle_gamma 90.00
loop_
_atom_site_label
_atom_site_type_symbol
_atom_site_fract_x
_atom_site_fract_y
_atom_site_fract_z
Ti1 Ti 0.000 0.000 0.108
Si1 Si 0.000 0.500 0.250
Sb1 Sb 0.000 0.000 0.500
# formation energy from raw total energies	-462.7	meV/atom
# density of states at the Fermi level	0.70	states/eV/atom

---

# Ti4SiSb (PBE-GGA, relaxed)
data_Ti4SiSb
_symmetry_space_group_name_H-M 'C 1 2/c 1'
_symmetry_Int_Tables_number 15
_symmetry_space_group_name_Hall '-C 2yc'
_cell_length_a 13.612
_cell_length_b 5.059
_cell_length_c 6.582
_cell_angle_alpha 90.00
_cell_angle_beta 103.45
_cell_angle_gamma 90.00
loop_
_atom_site_label
_atom_site_type_symbol
_atom_site_fract_x
_atom_site_fract_y
_atom_site_fract_z
Ti1 Ti 0.076 0.115 0.435
Ti2 Ti 0.175 0.354 0.128
Si1 Si 0.250 0.250 0.500
Sb1 Sb 0.000 0.381 0.750
# formation energy from raw total energies	-247.8	meV/atom
# density of states at the Fermi level	0.92	states/eV/atom

---

# Ti5Si2Sb2 (PBE-GGA, relaxed)
data_Ti5Si2Sb2
_symmetry_space_group_name_H-M 'C m c e'
_symmetry_Int_Tables_number 64
_symmetry_space_group_name_Hall '-C 2ac 2'
_cell_length_a 13.525
_cell_length_b 6.878
_cell_length_c 6.810
_cell_angle_alpha 90.00
_cell_angle_beta 90.00
_cell_angle_gamma 90.00
loop_
_atom_site_label
_atom_site_type_symbol
_atom_site_fract_x
_atom_site_fract_y
_atom_site_fract_z
Ti1 Ti 0.000 0.000 0.000
Ti2 Ti 0.121 0.165 0.331
Si1 Si 0.000 0.128 0.626
Sb1 Sb 0.210 0.000 0.000
# formation energy from raw total energies	-677.8	meV/atom
# density of states at the Fermi level	0.69	states/eV/atom

---

# Ti3SiSb (PBE-GGA, relaxed)
data_Ti3SiSb
_symmetry_space_group_name_H-M 'P m -3 m'
_symmetry_Int_Tables_number 221
_symmetry_space_group_name_Hall '-P 4 2 3'
_cell_length_a 4.987
_cell_length_b 4.987
_cell_length_c 4.987
_cell_angle_alpha 90.00
_cell_angle_beta 90.00
_cell_angle_gamma 90.00
loop_
_atom_site_label
_atom_site_type_symbol
_atom_site_fract_x
_atom_site_fract_y
_atom_site_fract_z
Ti1 Ti 0.000 0.000 0.500
Si1 Si 0.500 0.500 0.500
Sb1 Sb 0.000 0.000 0.000
# formation energy from raw total energies	958.1	meV/atom
# density of states at the Fermi level	0.91	states/eV/atom

---

# TlSiSb (PBE-GGA, relaxed)
data_TlSiSb
_symmetry_space_group_name_H-M 'P 3 m 1'
_symmetry_Int_Tables_number 156
_symmetry_space_group_name_Hall 'P 3 -2"'
_cell_length_a 5.2026
_cell_length_b 5.2026
_cell_length_c 3.2360
_cell_angle_alpha 90.00
_cell_angle_beta 90.00
_cell_angle_gamma 120.00
loop_
_atom_site_label
_atom_site_type_symbol
_atom_site_fract_x
_atom_site_fract_y
_atom_site_fract_z
Tl1 Tl 0.0000 0.0000 0.0000
Si1 Si 0.3333 0.6667 0.5023
Sb1 Sb 0.6667 0.3333 0.4996
# formation energy from raw total energies	395.1	meV/atom
# density of states at the Fermi level	0.73	states/eV/atom

---

# TlSi2Sb (PBE-GGA, relaxed)
data_TlSi2Sb
_symmetry_space_group_name_H-M 'I -4 2 d'
_symmetry_Int_Tables_number 122
_symmetry_space_group_name_Hall 'I -4 2bw'
_cell_length_a 6.156
_cell_length_b 6.156
_cell_length_c 12.182
_cell_angle_alpha 90.00
_cell_angle_beta 90.00
_cell_angle_gamma 90.00
loop_
_atom_site_label
_atom_site_type_symbol
_atom_site_fract_x
_atom_site_fract_y
_atom_site_fract_z
Tl1 Tl 0.000 0.000 0.000
Si1 Si 0.248 0.250 0.625
Sb1 Sb 0.000 0.000 0.500
# formation energy from raw total energies	379.7	meV/atom
# density of states at the Fermi level	0.00	states/eV/atom

---

# TlSiSb (PBE-GGA, relaxed)
data_TlSiSb
_symmetry_space_group_name_H-M 'F -4 3 m'
_symmetry_Int_Tables_number 216
_symmetry_space_group_name_Hall 'F -4 2 3'
_cell_length_a 7.143
_cell_length_b 7.143
_cell_length_c 7.143
_cell_angle_alpha 90.00
_cell_angle_beta 90.00
_cell_angle_gamma 90.00
loop_
_atom_site_label
_atom_site_type_symbol
_atom_site_fract_x
_atom_site_fract_y
_atom_site_fract_z
Tl1 Tl 0.000 0.000 0.000
Si1 Si 0.000 0.000 0.500
Sb1 Sb 0.250 0.250 0.250
# formation energy from raw total energies	512.7	meV/atom
# density of states at the Fermi level	0.40	states/eV/atom

---

# TlSiSb (PBE-GGA, relaxed)
data_TlSiSb
_symmetry_space_group_name_H-M 'F -4 3 m'
_symmetry_Int_Tables_number 216
_symmetry_space_group_name_Hall 'F -4 2 3'
_cell_length_a 6.968
_cell_length_b 6.968
_cell_length_c 6.968
_cell_angle_alpha 90.00
_cell_angle_beta 90.00
_cell_angle_gamma 90.00
loop_
_atom_site_label
_atom_site_type_symbol
_atom_site_fract_x
_atom_site_fract_y
_atom_site_fract_z
Tl1 Tl 0.000 0.000 0.000
Si1 Si 0.250 0.250 0.750
Sb1 Sb 0.000 0.000 0.500
# formation energy from raw total energies	391.7	meV/atom
# density of states at the Fermi level	0.55	states/eV/atom